[1]
Entry from the Alexandria database: PrTiOs after structural relaxation (GGA-PBE).

Calculated values
Symmetry   Amm2 (38)
E_form   0.07 eV/atom

Cell: 4.6875 3.3118 11.6899 Å, 90.00 90.00 135.05°
Fractional positions:
Os 0.6938 0.3875 0.0000
Ti 0.1938 0.3876 0.8864
Pr 0.6950 0.3900 0.3411
Ti 0.1938 0.3876 0.1136
Os 0.1952 0.3904 0.5000
Pr 0.6950 0.3900 0.6589

---

[2]
Entry from the Alexandria database: Tm2CuHg after structural relaxation (GGA-PBE).

Calculated values
Symmetry   P4/mmm (123)
E_form   -0.38 eV/atom

Cell: 3.4817 3.4817 7.3995 Å, 90.00 90.00 90.00°
Fractional positions:
Hg 0.5000 0.5000 0.5000
Tm 0.0000 0.0000 0.2257
Tm 0.0000 0.0000 0.7743
Cu 0.5000 0.5000 0.0000

---

[3]
Entry from the Alexandria database: NdSc after structural relaxation (GGA-PBE).

Calculated values
Symmetry   Cmmm (65)
E_form   0.05 eV/atom

Cell: 3.6280 5.7397 5.7397 Å, 98.09 90.00 90.00°
Fractional positions:
Nd 0.5000 0.2288 0.7712
Sc 0.0000 0.2811 0.2811
Nd 0.5000 0.7712 0.2288
Sc 0.0000 0.7189 0.7189

---

In the order shown, the computed E_tot values come out to -7.8935 -3.7122 -5.4972 eV per atom.